Entry 1:
Compound: CePmScTl
Source: Alexandria via LeMat-Bulk
Functional: PBE-GGA
Structure: optimized geometry

Results
Total magnetic moment = 3.242 μB/cell
DOS at the Fermi energy = 29.9 states/eV per cell
E = -19.3 eV/f.u.
Calculated formation energy = 6 kJ/mol of formula units

a b c (Å): 7.5373 7.5373 7.5373
angles (deg): 90.00 90.00 90.00
With the nearest neighbours (Å) after each atom.
Space group F-43m (No. 216)
Unique sites:
Ce  0.0000  0.0000  0.0000 [4 per cell]  4 Sc 3.26, 4 Pm 3.26
Pm  0.2500  0.2500  0.7500 [4 per cell]  4 Tl 3.26, 4 Ce 3.26
Sc  0.2500  0.2500  0.2500 [4 per cell]  4 Tl 3.26, 4 Ce 3.26
Tl  0.0000  0.0000  0.5000 [4 per cell]  4 Pm 3.26, 4 Sc 3.26

Entry 2:
Compound: PmPrTmAg
Source: Alexandria via LeMat-Bulk
Functional: PBE-GGA
Structure: optimized geometry

Results
Distance to the lowest polymorph of the same formula = 239 meV/atom
Total magnetic moment = 0.039 μB/cell
DOS at the Fermi energy = 29.7 states/eV per cell
E = -16.4 eV/f.u.
Calculated formation energy = 43 kJ/mol of formula units

a b c (Å): 7.7398 7.7398 7.7398
angles (deg): 90.00 90.00 90.00
With the nearest neighbours (Å) after each atom.
Space group F-43m (No. 216)
Unique sites:
Pm  0.0000  0.0000  0.0000 [4 per cell]  4 Pr 3.35, 4 Tm 3.35
Pr  0.2500  0.2500  0.7500 [4 per cell]  4 Pm 3.35, 4 Ag 3.35
Tm  0.2500  0.2500  0.2500 [4 per cell]  4 Pm 3.35, 4 Ag 3.35
Ag  0.0000  0.0000  0.5000 [4 per cell]  4 Pr 3.35, 4 Tm 3.35

Entry 3:
Compound: Ti6IrOs5
Source: Alexandria via LeMat-Bulk
Functional: PBE-GGA
Structure: optimized geometry

Results
Total magnetic moment = 0.000 μB/cell
DOS at the Fermi energy = 5.3 states/eV per cell
E = -121.2 eV/f.u.
Calculated formation energy = -849 kJ/mol of formula units

a b c (Å): 4.3777 6.1883 13.1111
angles (deg): 90.00 90.00 90.00
With the nearest neighbours (Å) after each atom.
Space group Immm (No. 71)
Unique sites:
Ti  0.0000  0.2468  0.0000 [4 per cell]  6 Os 2.67-2.68, 2 Ir 2.69
Ti  0.0000  0.2516  0.3321 [8 per cell]  7 Os 2.67-2.69, 1 Ir 2.70
Ir  0.0000  0.0000  0.5000 [2 per cell]  8 Ti 2.69-2.70
Os  0.0000  0.0000  0.1668 [4 per cell]  8 Ti 2.67
Os  0.0000  0.5000  0.1660 [4 per cell]  8 Ti 2.67-2.69
Os  0.0000  0.5000  0.5000 [2 per cell]  8 Ti 2.67-2.69

- Look up the total magnetic moment of the second one.
  0.039 μB/cell